Record 1
Below is crystalline La3Sm2DyY6 at its relaxed geometry, with properties calculated at the PBE-GGA level.

Lattice parameters (Å, degrees): 6.286 10.889 11.913 90.00 100.11 90.00
Space group C2/m (No. 12)
Asymmetric unit:
La 0.000 0.000 0.000 x2
La 0.000 0.333 0.000 x4
Sm 0.000 0.167 0.500 x4
Dy 0.000 0.500 0.500 x2
Y 0.248 0.333 0.746 x8
Y 0.249 0.000 0.746 x4

Summary:
* DFT total energy: -5.62 eV/atom
* DOS(E_F): 31.7 states/eV/cell
* ΔE_f: 14.7 meV/atom



Record 2
Below is crystalline LaSm6DyY2 at its relaxed geometry, with properties calculated at the PBE-GGA level.

Lattice parameters (Å, degrees): 9.339 15.240 9.646 90.00 97.03 90.00
Space group C2/c (No. 15)
Asymmetric unit:
La 0.000 0.094 0.250 x4
Sm 0.065 0.325 0.443 x8
Sm 0.095 0.111 0.618 x8
Sm 0.208 0.273 0.818 x8
Dy 0.000 0.466 0.750 x4
Y 0.244 0.452 0.048 x8

Summary:
* DFT total energy: -4.96 eV/atom
* DOS(E_F): 60.2 states/eV/cell
* ΔE_f: 122.1 meV/atom



Record 3
Below is crystalline LaDy2Sn at its relaxed geometry, with properties calculated at the PBE-GGA level.

Lattice parameters (Å, degrees): 7.698 7.698 7.698 90.00 90.00 90.00
Space group Fm-3m (No. 225)
Asymmetric unit:
La 0.000 0.000 0.000 x4
Dy 0.250 0.250 0.250 x8
Sn 0.000 0.000 0.500 x4

Summary:
* DFT total energy: -4.76 eV/atom
* DOS(E_F): 21.8 states/eV/cell
* ΔE_f: -230.2 meV/atom